First-principles (GGA-PBE) data for a relaxed LaHf2SeI crystal, as listed in Alexandria via LeMat-Bulk.

```
data_LaHf2SeI
_chemical_formula_sum 'La1 Hf2 Se1 I1'
_cell_length_a 4.9717
_cell_length_b 4.9717
_cell_length_c 5.8976
_cell_angle_alpha 90.00
_cell_angle_beta 90.00
_cell_angle_gamma 90.00
_space_group_name_H-M_alt 'P 4/m m m'
_space_group_IT_number 123
_space_group_name_Hall '-P 4 2'
loop_
_atom_site_label
_atom_site_fract_x
_atom_site_fract_y
_atom_site_fract_z
La1 0.0000 0.0000 0.0000
Hf1 0.0000 0.5000 0.5000
Se1 0.0000 0.0000 0.5000
I1 0.5000 0.5000 0.0000
```

Raw total energy ... -5.981 eV per atom
N(E_F) ... 6.967 states/eV/cell
Formation energy (no corrections) ... -0.04 eV per formula unit

=====

First-principles (GGA-PBE) data for a relaxed Al6V2Ir crystal, as listed in Alexandria via LeMat-Bulk.

```
data_Al6V2Ir
_chemical_formula_sum 'Al12 V4 Ir2'
_cell_length_a 13.7836
_cell_length_b 7.0352
_cell_length_c 2.8797
_cell_angle_alpha 90.00
_cell_angle_beta 92.34
_cell_angle_gamma 90.00
_space_group_name_H-M_alt 'C 1 2/m 1'
_space_group_IT_number 12
_space_group_name_Hall '-C 2y'
loop_
_atom_site_label
_atom_site_fract_x
_atom_site_fract_y
_atom_site_fract_z
Al1 0.0000 0.1907 0.0000
Al2 0.1606 0.3141 0.4944
V1 0.1910 0.0000 0.9950
Ir1 0.0000 0.5000 0.5000
```

Raw total energy ... -5.709 eV per atom
N(E_F) ... 14.095 states/eV/cell